# 1
VASP calculation (SCAN) on SiSnB2 at its PBEsol-relaxed geometry.

```
SiSnB2
1.0
-2.363 2.363 5.406
2.363 -2.363 5.406
2.363 2.363 -5.406
Si Sn B
2 2 4
direct
0.000 0.000 0.000
0.750 0.250 0.500
0.250 0.750 0.500
0.500 0.500 0.000
0.073 0.625 0.948
0.375 0.323 0.448
0.677 0.125 0.052
0.875 0.927 0.552
```

Total DFT energy (no corrections) in eV/atom: -14.62
SG: I-42d (122)
Energy relative to the elements, uncorrected in eV per atom: 0.58
Magnetic moment in μB/f.u.: 0.00

***

# 2
VASP calculation (SCAN) on Ca2ScBr at its PBEsol-relaxed geometry.

```
Ca2ScBr
1.0
3.628 -4.593 0.000
3.628 4.593 0.000
0.000 0.000 3.580
Ca Sc Br
2 1 1
direct
0.000 0.500 0.000
0.500 0.000 0.000
0.000 0.000 0.500
0.500 0.500 0.500
```

Total DFT energy (no corrections) in eV/atom: -13.54
ΔE to the lowest computed polymorph in kcal/mol of atoms: 6.79
SG: Cmmm (65)
Energy relative to the elements, uncorrected in eV per atom: -0.28
Magnetic moment in μB/f.u.: 1.97